! GGA-PBE YPdW2, relaxed; values from VASP
! - relative energy among the computed polymorphs (meV/atom) = 282
! - ρ (g cm⁻³) = 13.1
! - crystal system = cubic
&SYSTEM
  ibrav = 0, nat = 4, ntyp = 3
/
ATOMIC_SPECIES
Y 88.91 Y.upf
Pd 106.42 Pd.upf
W 183.84 W.upf
ATOMIC_POSITIONS crystal
Y 0.0000 0.0000 0.0000
Pd 0.5000 0.5000 0.5000
W 0.2500 0.2500 0.2500
W 0.7500 0.7500 0.7500
CELL_PARAMETERS angstrom
3.1608 -3.3741 0.5538
1.9296 -0.7199 4.1762
-1.0756 -3.8210 2.4342

=====

! GGA-PBE NaLi2Cd6, relaxed; values from VASP
! - relative energy among the computed polymorphs (meV/atom) = 76
! - ρ (g cm⁻³) = 5.4
! - crystal system = orthorhombic
&SYSTEM
  ibrav = 0, nat = 9, ntyp = 3
/
ATOMIC_SPECIES
Na 22.99 Na.upf
Li 6.94 Li.upf
Cd 112.41 Cd.upf
ATOMIC_POSITIONS crystal
Na 0.5000 0.5000 0.5000
Li 0.3856 0.1144 0.1144
Li 0.6144 0.8856 0.8856
Cd 0.2005 0.5490 0.0500
Cd 0.7995 0.4510 0.9500
Cd 0.7995 0.9500 0.4510
Cd 0.0000 0.2339 0.7661
Cd 0.0000 0.7661 0.2339
Cd 0.2005 0.0500 0.5490
CELL_PARAMETERS angstrom
-2.6500 4.1102 -1.3806
-4.0101 2.7602 6.5630
1.1140 5.7675 5.6805

=====

! GGA-PBE InGeB2, relaxed; values from VASP
! - relative energy among the computed polymorphs (meV/atom) = 599
! - ρ (g cm⁻³) = 6.0
! - crystal system = cubic
&SYSTEM
  ibrav = 0, nat = 4, ntyp = 3
/
ATOMIC_SPECIES
Ge 72.64 Ge.upf
B 10.81 B.upf
In 114.82 In.upf
ATOMIC_POSITIONS crystal
Ge 0.0000 0.0000 0.0000
B 0.2500 0.2500 0.2500
B 0.7500 0.7500 0.7500
In 0.5000 0.5000 0.5000
CELL_PARAMETERS angstrom
0.0000 3.0647 3.0647
3.0647 0.0000 3.0647
3.0647 3.0647 0.0000

=====

| no. | ΔH_f (0 K) (eV/f.u.) |
| --- | --- |
| 1 | 3.22 |
| 2 | -0.43 |
| 3 | 5.84 |